This record from Alexandria describes a relaxed CsSrAgTe2 crystal. The functional is GGA-PBE.

a = 8.4033 Å, b = 17.4012 Å, c = 6.2786 Å
α = 90.00°, β = 90.00°, γ = 90.00°
Last column: nearest neighbours and their distance in Å.
Space group Cmme (No. 67)
Symmetry-distinct sites (fractional):
Cs1 0.0000 0.2500 0.2275 (multiplicity 4)  4 Te 3.88-3.91
Sr1 0.2500 0.0000 0.5000 (multiplicity 4)  4 Te 3.27
Ag1 0.0000 0.0000 0.0000 (multiplicity 4)  2 Te 2.65
Te1 0.0000 0.1175 0.7304 (multiplicity 8)  1 Ag 2.65

Properties
Size of the total moment ... 0.0 μB/f.u.
ΔE_f (raw) ... -0.98 eV/atom
Final energy ... -0.2438 Ry per atom



This record from Alexandria describes a relaxed CsTaAg3 crystal. The functional is GGA-PBE.

a = 5.4150 Å, b = 5.4150 Å, c = 5.4150 Å
α = 90.00°, β = 90.00°, γ = 90.00°
Last column: nearest neighbours and their distance in Å.
Space group Pm-3m (No. 221)
Symmetry-distinct sites (fractional):
Cs1 0.0000 0.0000 0.0000 (multiplicity 1)  12 Ag 3.83
Ta1 0.5000 0.5000 0.5000 (multiplicity 1)  6 Ag 2.71
Ag1 0.0000 0.5000 0.5000 (multiplicity 3)  2 Ta 2.71

Properties
ΔH_f (0 K) ... 0.98 eV/atom
Size of the total moment ... 0.0 μB/f.u.
Final energy ... -0.2404 Ry per atom



This record from Alexandria describes a relaxed CsTa2Ag crystal. The functional is GGA-PBE.

a = 6.8941 Å, b = 6.8941 Å, c = 6.8941 Å
α = 90.00°, β = 90.00°, γ = 90.00°
Last column: nearest neighbours and their distance in Å.
Space group Fm-3m (No. 225)
Symmetry-distinct sites (fractional):
Cs1 0.0000 0.0000 0.0000 (multiplicity 4)  8 Ta 2.99
Ta1 0.2500 0.2500 0.2500 (multiplicity 8)  4 Cs 2.99, 4 Ag 2.99
Ag1 0.0000 0.0000 0.5000 (multiplicity 4)  8 Ta 2.99

Properties
Relative energy among the computed polymorphs ... 194 meV per atom
ΔH_f (0 K) ... 1.80 eV/atom
Size of the total moment ... 0.0 μB/f.u.
Final energy ... -0.3716 Ry per atom



This record from Alexandria describes a relaxed CsTa2Ag crystal. The functional is GGA-PBE.

a = 4.1691 Å, b = 4.1691 Å, c = 22.7002 Å
α = 90.00°, β = 90.00°, γ = 90.00°
Last column: nearest neighbours and their distance in Å.
Space group I-42d (No. 122)
Symmetry-distinct sites (fractional):
Cs1 0.0000 0.0000 0.0000 (multiplicity 4)  4 Ag 2.95, 4 Ta 3.25
Ta1 0.2146 0.2500 0.6250 (multiplicity 8)  2 Ta 2.75
Ag1 0.0000 0.0000 0.5000 (multiplicity 4)  4 Cs 2.95, 4 Ta 3.15

Properties
Relative energy among the computed polymorphs ... 0 meV per atom
ΔH_f (0 K) ... 1.60 eV/atom
Size of the total moment ... 0.0 μB/f.u.
Final energy ... -0.3859 Ry per atom



This record from Alexandria describes a relaxed CsTaAg2 crystal. The functional is GGA-PBE.

a = 7.4004 Å, b = 7.4004 Å, c = 7.4004 Å
α = 90.00°, β = 90.00°, γ = 90.00°
Last column: nearest neighbours and their distance in Å.
Space group Fm-3m (No. 225)
Symmetry-distinct sites (fractional):
Cs1 0.0000 0.0000 0.0000 (multiplicity 4)  8 Ag 3.20
Ta1 0.0000 0.0000 0.5000 (multiplicity 4)  8 Ag 3.20
Ag1 0.2500 0.2500 0.2500 (multiplicity 8)  4 Ta 3.20, 4 Cs 3.20

Properties
ΔH_f (0 K) ... 1.43 eV/atom
Size of the total moment ... 2.8 μB/f.u.
Final energy ... -0.2331 Ry per atom



This record from Alexandria describes a relaxed CsTaAgTe4 crystal. The functional is GGA-PBE.

a = 6.3751 Å, b = 10.1243 Å, c = 9.4490 Å
α = 90.00°, β = 90.12°, γ = 90.00°
Last column: nearest neighbours and their distance in Å.
Space group P2_1/m (No. 11)
Symmetry-distinct sites (fractional):
Cs1 0.1987 0.2500 0.1757 (multiplicity 2)  6 Te 3.94-4.32
Ta1 0.4590 0.2500 0.7038 (multiplicity 2)  4 Te 2.62-2.66
Ag1 0.0424 0.7500 0.3107 (multiplicity 2)  4 Te 2.80-2.82
Te1 0.2311 0.0336 0.7043 (multiplicity 4)  1 Ta 2.63, 1 Ag 2.80
Te2 0.3017 0.7500 0.0704 (multiplicity 2)  1 Ta 2.62, 1 Ag 2.81
Te3 0.3297 0.7500 0.5381 (multiplicity 2)  1 Ta 2.66, 1 Ag 2.82

Properties
Size of the total moment ... 0.0 μB/f.u.
ΔE_f (raw) ... -0.40 eV/atom
Final energy ... -0.3246 Ry per atom